1.
CaCo2PN: relaxed, PBE.

Properties
SG	Cmcm, No. 63
formation energy without anion corrections	-16.34	kcal/mol of atoms
magnetic moment	0.131	μB per atom
final energy	-6.698	eV/atom

The structure in extended XYZ format:
```
10
Lattice="-3.281 -0.128 1.450 -0.143 -2.543 -4.991 1.492 -5.720 2.871" Properties=species:S:1:pos:R:3 pbc="T T T"
Ca -0.514 -6.676 -1.753
Ca -1.418 -1.714 1.082
Co 0.826 -6.274 1.316
Co -2.759 -2.117 -1.987
Co 0.238 -4.020 0.185
Co -2.171 -4.370 -0.856
P -1.344 -5.555 0.912
P -0.589 -2.835 -1.583
N 0.000 0.000 0.000
N 0.746 -2.860 1.436
```

2.
Ca2CoPN: relaxed, PBE.

Properties
SG	P4/mmm, No. 123
formation energy without anion corrections	-15.62	kcal/mol of atoms
magnetic moment	0.099	μB per atom
final energy	-5.646	eV/atom

The structure in extended XYZ format:
```
5
Lattice="-0.984 -4.835 -0.804 0.084 -0.836 4.928 -3.456 0.675 0.173" Properties=species:S:1:pos:R:3 pbc="T T T"
P -2.178 -2.498 2.149
Ca 0.042 -0.418 2.464
Ca -0.492 -2.417 -0.402
Co -1.728 0.337 0.087
N 0.000 0.000 0.000
```

Look up the formation energy without anion corrections of the first one.
-16.34 kcal/mol of atoms

formation energy without anion corrections of number 2 (Ca2CoPN)?
-15.62 kcal/mol of atoms

What is the formula in the second record?
Ca2CoPN